[1]
Entry from the Alexandria database: crystalline Tb5Pr at its relaxed geometry (GGA-PBE).

```
Tb5Pr
1.0
3.1015 -5.3763 0.0000
3.1015 5.3763 0.0000
-2.0573 0.0000 5.8569
Tb Pr
5 1
direct
0.0000 0.0000 0.0000
0.1669 0.8331 0.5000
0.3327 0.6673 0.0000
0.6673 0.3327 0.0000
0.8331 0.1669 0.5000
0.5000 0.5000 0.5000
```

Output
* ΔE to the lowest computed polymorph: 0 meV/atom
* DFT formation energy: 0.015 eV/atom
* spin magnetization: 0.00 μB/atom

***

[2]
Entry from the Alexandria database: crystalline Tb17Pr2 at its relaxed geometry (GGA-PBE).

```
Tb17Pr2
1.0
5.6327 3.2521 5.8683
-5.6327 3.2521 5.8683
0.0000 -6.5041 5.8683
Tb Pr
17 2
direct
0.0000 0.0000 0.5000
0.0000 0.2970 0.7030
0.0000 0.5000 0.0000
0.0000 0.7030 0.2970
0.0951 0.0951 0.0951
0.1499 0.6305 0.6305
0.2970 0.0000 0.7030
0.2970 0.7030 0.0000
0.3695 0.3695 0.8501
0.3695 0.8501 0.3695
0.5000 0.0000 0.0000
0.6305 0.1499 0.6305
0.6305 0.6305 0.1499
0.7030 0.0000 0.2970
0.7030 0.2970 0.0000
0.8501 0.3695 0.3695
0.9049 0.9049 0.9049
0.3270 0.3270 0.3270
0.6730 0.6730 0.6730
```

Output
* DFT formation energy: 0.271 eV/atom
* spin magnetization: 0.00 μB/atom

***

[3]
Entry from the Alexandria database: crystalline TbPr6 at its relaxed geometry (GGA-PBE).

```
TbPr6
1.0
-4.1453 4.1453 4.1453
4.1453 -4.1453 4.1453
4.1453 4.1453 -4.1453
Tb Pr
1 6
direct
0.0000 0.0000 0.0000
0.2500 0.5000 0.7500
0.2500 0.7500 0.5000
0.5000 0.2500 0.7500
0.5000 0.7500 0.2500
0.7500 0.2500 0.5000
0.7500 0.5000 0.2500
```

Output
* ΔE to the lowest computed polymorph: 974 meV/atom
* DFT formation energy: 1.206 eV/atom
* spin magnetization: 0.00 μB/atom

***

[4]
Entry from the Alexandria database: crystalline Tb4Pr3 at its relaxed geometry (GGA-PBE).

```
Tb4Pr3
1.0
5.7388 -2.5651 0.0000
5.7388 2.5651 0.0000
-1.1483 0.0000 8.0283
Tb Pr
4 3
direct
0.0721 0.0721 0.2090
0.3580 0.3580 0.0700
0.6420 0.6420 0.9300
0.9279 0.9279 0.7910
0.2137 0.2137 0.6466
0.5000 0.5000 0.5000
0.7863 0.7863 0.3534
```

Output
* ΔE to the lowest computed polymorph: 0 meV/atom
* DFT formation energy: 0.019 eV/atom
* spin magnetization: 0.00 μB/atom

***

What did the first record say?
Entry from the Alexandria database: crystalline Tb5Pr at its relaxed geometry (GGA-PBE).

```
Tb5Pr
1.0
3.1015 -5.3763 0.0000
3.1015 5.3763 0.0000
-2.0573 0.0000 5.8569
Tb Pr
5 1
direct
0.0000 0.0000 0.0000
0.1669 0.8331 0.5000
0.3327 0.6673 0.0000
0.6673 0.3327 0.0000
0.8331 0.1669 0.5000
0.5000 0.5000 0.5000
```

Output
* ΔE to the lowest computed polymorph: 0 meV/atom
* DFT formation energy: 0.015 eV/atom
* spin magnetization: 0.00 μB/atom